CuAgTe2: relaxed, PBEsol.

As for the space group: Pmmm. As for the uncorrected formation energy: 0.30 eV/atom.

Cell: 3.917 3.962 5.629 Å, 90.00 90.00 90.00°
Fractional positions:
Ag: 0.500 0.500 0.000
Te: 0.000 0.000 0.000
Cu: 0.000 0.500 0.500
Te: 0.500 0.000 0.500